A.
Cu5C: relaxed, GGA-PBE.

Space-group type = P-62m, No. 189
Theoretical density = 8.3 g cm⁻³
Crystal system = hexagonal
Fermi-level density of states = 3.35 states/eV per cell

POSCAR file:
```
Cu5C
1.0
4.428 0.000 0.000
-2.214 3.834 0.000
0.000 0.000 3.863
Cu C
5 1
Cartesian
-1.520 2.632 0.000
0.694 1.202 0.000
0.000 2.556 1.931
2.214 1.278 1.931
3.040 0.000 0.000
0.000 0.000 1.931
```



B.
Cu5C: relaxed, GGA-PBE.

Space-group type = F-43m, No. 216
Theoretical density = 7.5 g cm⁻³
Crystal system = cubic
Fermi-level density of states = 4.60 states/eV per cell

POSCAR file:
```
Cu5C
1.0
0.000 3.324 3.324
3.324 0.000 3.324
3.324 3.324 0.000
Cu C
5 1
Cartesian
0.000 0.000 0.000
4.155 2.493 2.493
2.493 4.155 2.493
2.493 2.493 4.155
4.155 4.155 4.155
1.662 1.662 1.662
```



Sorted by energy, starting with the most stable: A, B.



A.
Cu5C: relaxed, GGA-PBE.

Space-group type = P6/mmm, No. 191
Theoretical density = 7.0 g cm⁻³
Crystal system = hexagonal
Fermi-level density of states = 4.21 states/eV per cell

POSCAR file:
```
Cu5C
1.0
4.622 0.000 0.000
-2.311 4.003 0.000
0.000 0.000 4.217
Cu C
5 1
Cartesian
-1.155 2.001 0.000
0.000 2.668 2.108
2.311 0.000 0.000
1.155 2.001 0.000
2.311 1.334 2.108
0.000 0.000 2.108
```



B.
Cu5C: relaxed, GGA-PBE.

Space-group type = Cm, No. 8
Theoretical density = 8.3 g cm⁻³
Crystal system = monoclinic
Fermi-level density of states = 2.22 states/eV per cell

POSCAR file:
```
Cu5C
1.0
4.284 -1.316 0.000
4.284 1.316 0.000
-1.404 0.000 5.881
Cu C
5 1
Cartesian
0.000 0.000 0.000
0.069 0.000 2.541
2.386 0.000 3.600
4.705 0.000 4.655
6.296 0.000 1.378
1.373 0.000 5.878
```



Sorted by energy, starting with the most stable: B, A.



A.
Cu2C3: relaxed, GGA-PBE.

Space-group type = Fdd2, No. 43
Theoretical density = 5.2 g cm⁻³
Crystal system = orthorhombic
Fermi-level density of states = 2.79 states/eV per cell

POSCAR file:
```
Cu2C3
1.0
0.000 6.978 1.520
4.906 0.000 1.520
4.906 6.978 0.000
Cu C
4 6
Cartesian
2.578 1.099 0.760
5.032 2.390 1.520
2.328 5.879 0.760
4.781 11.565 1.520
6.004 6.251 0.770
4.906 6.978 0.737
3.809 7.705 0.770
3.551 4.216 1.530
2.453 3.489 1.497
6.262 9.740 1.530
```



B.
Cu2C3: relaxed, GGA-PBE.

Space-group type = P-3m1, No. 164
Theoretical density = 4.9 g cm⁻³
Crystal system = trigonal
Fermi-level density of states = 1.65 states/eV per cell

POSCAR file:
```
Cu2C3
1.0
2.533 0.000 0.000
-1.266 2.193 0.000
0.000 0.000 9.920
Cu C
2 3
Cartesian
0.000 1.462 3.545
1.266 0.731 6.375
0.000 0.000 4.960
0.000 1.462 0.000
1.266 0.731 9.920
```



Sorted by energy, starting with the most stable: B, A.



A.
Cu3C4: relaxed, GGA-PBE.

Space-group type = P6/mmm, No. 191
Theoretical density = 5.6 g cm⁻³
Crystal system = hexagonal
Fermi-level density of states = 1.11 states/eV per cell

POSCAR file:
```
Cu3C4
1.0
5.650 0.000 0.000
-2.825 4.893 0.000
0.000 0.000 2.541
Cu C
3 4
Cartesian
-1.412 2.447 0.000
2.825 0.000 0.000
1.412 2.447 0.000
0.000 0.000 0.638
0.000 0.000 1.904
0.000 3.262 1.271
2.825 1.631 1.271
```



B.
Cu3C4: relaxed, GGA-PBE.

Space-group type = P-43m, No. 215
Theoretical density = 6.1 g cm⁻³
Crystal system = cubic
Fermi-level density of states = 3.02 states/eV per cell

POSCAR file:
```
Cu3C4
1.0
4.025 0.000 0.000
0.000 4.025 0.000
0.000 0.000 4.025
Cu C
3 4
Cartesian
0.000 0.000 2.013
0.000 2.013 0.000
2.013 0.000 0.000
1.461 1.461 1.461
1.461 2.564 2.564
2.564 1.461 2.564
2.564 2.564 1.461
```



Sorted by energy, starting with the most stable: A, B.